(w)
# BaAuSeN2 | the Alexandria database | PBE | relaxed
data_BaAuSeN2
_chemical_formula_sum 'Ba1 Au1 Se1 N2'
_space_group_name_H-M_alt 'P 4/m m m'
_space_group_IT_number 123
_space_group_name_Hall '-P 4 2'
_cell_length_a 4.432
_cell_length_b 4.432
_cell_length_c 5.371
_cell_angle_alpha 90.00
_cell_angle_beta 90.00
_cell_angle_gamma 90.00
loop_
_atom_site_label
_atom_site_type_symbol
_atom_site_fract_x
_atom_site_fract_y
_atom_site_fract_z
_atom_site_occupancy
Ba1 Ba 0.000 0.000 0.000 1
Au1 Au 0.500 0.500 0.500 1
Se1 Se 0.500 0.500 0.000 1
N1 N 0.000 0.500 0.500 1
# Mass density, g/cm3: 6.9

***

(x)
# BaAuSeN2 | the Alexandria database | PBE | relaxed
data_BaAuSeN2
_chemical_formula_sum 'Ba1 Au1 Se1 N2'
_space_group_name_H-M_alt 'P 4/m m m'
_space_group_IT_number 123
_space_group_name_Hall '-P 4 2'
_cell_length_a 4.539
_cell_length_b 4.539
_cell_length_c 6.862
_cell_angle_alpha 90.00
_cell_angle_beta 90.00
_cell_angle_gamma 90.00
loop_
_atom_site_label
_atom_site_type_symbol
_atom_site_fract_x
_atom_site_fract_y
_atom_site_fract_z
_atom_site_occupancy
Ba1 Ba 0.000 0.000 0.000 1
Au1 Au 0.500 0.500 0.500 1
Se1 Se 0.000 0.000 0.500 1
N1 N 0.000 0.500 0.000 1
# Mass density, g/cm3: 5.2

***

The most stable structure shown above is (w); the least stable is (x).